Record 1
This record from Alexandria via LeMat-Bulk describes crystalline CdIn2Pt at its relaxed geometry. The functional is GGA-PBE.

SG = Cmmm, No. 65
N(E_F) = 1.23 states/eV per cell
Formation enthalpy at 0 K = -92.0 meV/atom
Raw total energy = -12.80 eV/f.u.

Geometry as POSCAR:
```
CdIn2Pt
1.0
4.648 -0.061 0.000
-0.960 4.548 0.000
0.000 0.000 3.981
Cd Pt In
1 1 2
Cartesian
-0.480 2.274 1.991
2.324 -0.030 1.991
0.000 0.000 0.000
1.844 2.244 0.000
```



Record 2
This record from Alexandria via LeMat-Bulk describes crystalline Cd2InPt at its relaxed geometry. The functional is GGA-PBE.

SG = C2/m, No. 12
N(E_F) = 1.36 states/eV per cell
Formation enthalpy at 0 K = -226.6 meV/atom
Raw total energy = -11.52 eV/f.u.

Geometry as POSCAR:
```
Cd2InPt
1.0
6.727 -0.049 0.015
6.061 2.919 0.015
1.535 0.345 4.355
Cd Pt In
2 1 1
Cartesian
2.097 0.471 4.146
6.600 1.481 2.402
10.743 2.411 3.288
3.581 0.804 1.096
```



Record 3
This record from Alexandria via LeMat-Bulk describes crystalline Cd2InPt at its relaxed geometry. The functional is GGA-PBE.

SG = R-3m, No. 166
N(E_F) = 1.65 states/eV per cell
Formation enthalpy at 0 K = -50.7 meV/atom
Raw total energy = -10.81 eV/f.u.

Geometry as POSCAR:
```
Cd2InPt
1.0
9.641 -0.034 -0.020
9.122 3.121 -0.020
9.122 1.501 2.737
Cd Pt In
2 1 1
Cartesian
0.219 0.036 0.021
13.723 2.258 1.327
20.913 3.442 2.023
6.971 1.147 0.674
```



Record 4
This record from Alexandria via LeMat-Bulk describes crystalline CdIn2Pt at its relaxed geometry. The functional is GGA-PBE.

SG = R-3m, No. 166
N(E_F) = 2.31 states/eV per cell
Formation enthalpy at 0 K = -135.1 meV/atom
Raw total energy = -12.97 eV/f.u.

Geometry as POSCAR:
```
CdIn2Pt
1.0
-3.544 -3.247 7.477
-0.212 -4.244 7.807
-1.172 -1.021 8.752
Cd Pt In
1 1 2
Cartesian
-3.695 -6.384 18.027
-1.232 -2.128 6.009
-4.871 -8.415 23.762
-2.520 -4.353 12.292
```



Record 5
This record from Alexandria via LeMat-Bulk describes crystalline CdIn8Pt6 at its relaxed geometry. The functional is GGA-PBE.

SG = R-3, No. 148
N(E_F) = 2.93 states/eV per cell
Formation enthalpy at 0 K = -477.5 meV/atom
Raw total energy = -66.23 eV/f.u.

Geometry as POSCAR:
```
CdIn8Pt6
1.0
6.653 -0.031 2.902
1.889 6.379 2.902
-0.041 -0.031 7.258
Cd In Pt
1 8 6
Cartesian
0.000 0.000 0.000
2.428 3.550 8.643
2.258 5.017 5.814
3.107 0.716 7.342
5.671 4.215 8.715
2.829 2.103 4.347
5.394 5.602 5.720
6.242 1.302 7.248
6.072 2.769 4.420
1.080 2.499 6.504
3.649 6.005 7.956
4.519 1.763 9.441
3.981 4.555 3.622
4.852 0.314 5.107
7.421 3.819 6.558
```



Record 6
This record from Alexandria via LeMat-Bulk describes crystalline CdInPt3 at its relaxed geometry. The functional is GGA-PBE.

E above lowest polymorph = 0 meV per atom
SG = Pm-3m, No. 221
N(E_F) = 2.58 states/eV per cell
Formation enthalpy at 0 K = 805.2 meV/atom
Raw total energy = -17.75 eV/f.u.

Geometry as POSCAR:
```
CdInPt3
1.0
-2.192 -2.482 -3.676
1.383 -4.278 2.064
-4.214 -0.113 2.589
Cd Pt In
1 3 1
Cartesian
-2.511 -3.437 0.489
0.692 -2.139 1.032
-2.107 -0.057 1.295
-1.096 -1.241 -1.838
0.000 0.000 0.000
```



Record 7
This record from Alexandria via LeMat-Bulk describes crystalline Cd7In2Pt2 at its relaxed geometry. The functional is GGA-PBE.

SG = C2/m, No. 12
N(E_F) = 2.89 states/eV per cell
Formation enthalpy at 0 K = -158.6 meV/atom
Raw total energy = -25.71 eV/f.u.

Geometry as POSCAR:
```
Cd7In2Pt2
1.0
-3.656 -2.600 0.042
0.291 -4.400 -6.322
2.288 -7.074 2.036
Cd In Pt
7 2 2
Cartesian
-1.002 -6.351 0.480
0.862 -8.977 -0.805
-0.075 -7.723 -4.725
-1.939 -5.097 -3.439
-1.828 -1.300 0.021
-2.579 -4.136 -0.707
1.502 -9.938 -3.538
-1.535 -9.504 -2.673
0.458 -4.570 -1.571
0.753 -5.019 -4.388
1.826 -6.455 0.101
```



Record 8
This record from Alexandria via LeMat-Bulk describes crystalline CdIn4Pt at its relaxed geometry. The functional is GGA-PBE.

SG = F-43m, No. 216
N(E_F) = 2.77 states/eV per cell
Formation enthalpy at 0 K = 349.6 meV/atom
Raw total energy = -15.81 eV/f.u.

Geometry as POSCAR:
```
CdIn4Pt
1.0
0.000 4.220 4.220
4.220 0.000 4.220
4.220 4.220 0.000
Cd In Pt
1 4 1
Cartesian
0.000 0.000 0.000
3.170 5.271 5.271
5.271 5.271 3.170
5.271 3.170 5.271
3.170 3.170 3.170
6.331 6.331 6.331
```



Record 9
This record from Alexandria via LeMat-Bulk describes crystalline Cd2In2Pt3 at its relaxed geometry. The functional is GGA-PBE.

SG = C2/m, No. 12
N(E_F) = 2.19 states/eV per cell
Formation enthalpy at 0 K = -406.6 meV/atom
Raw total energy = -28.28 eV/f.u.

Geometry as POSCAR:
```
Cd2In2Pt3
1.0
-0.006 2.687 -3.740
2.087 -4.109 -0.121
-7.042 -3.590 0.270
Cd In Pt
2 2 3
Cartesian
-2.514 -1.257 -0.898
-2.447 -3.754 -2.694
-0.275 -0.061 -2.879
-4.687 -4.950 -0.712
0.000 0.000 0.000
-4.898 -2.441 -1.744
-0.063 -2.571 -1.847
```



Record 10
This record from Alexandria via LeMat-Bulk describes crystalline Cd2InPt at its relaxed geometry. The functional is GGA-PBE.

SG = Cmmm, No. 65
N(E_F) = 1.16 states/eV per cell
Formation enthalpy at 0 K = -87.7 meV/atom
Raw total energy = -10.96 eV/f.u.

Geometry as POSCAR:
```
Cd2InPt
1.0
-3.603 3.446 1.459
-2.111 -3.835 -2.797
-0.508 -1.653 2.650
Cd Pt In
2 1 1
Cartesian
0.000 0.000 0.000
-2.857 -0.194 -0.669
-1.309 -2.744 -0.073
-2.055 0.897 2.054
```



Record 11
This record from Alexandria via LeMat-Bulk describes crystalline CdIn2Pt at its relaxed geometry. The functional is GGA-PBE.

SG = Immm, No. 71
N(E_F) = 2.15 states/eV per cell
Formation enthalpy at 0 K = -72.0 meV/atom
Raw total energy = -12.72 eV/f.u.

Geometry as POSCAR:
```
CdIn2Pt
1.0
-0.269 -3.431 -4.395
5.037 -1.109 -2.136
-2.837 -0.400 4.791
Cd Pt In
1 1 2
Cartesian
2.292 -1.890 -0.305
-0.361 -3.050 -1.435
4.639 -4.417 -6.354
2.513 -2.393 -3.442
```



Record 12
This record from Alexandria via LeMat-Bulk describes crystalline CdInPt2 at its relaxed geometry. The functional is GGA-PBE.

SG = R3m, No. 160
N(E_F) = 2.28 states/eV per cell
Formation enthalpy at 0 K = -14.7 meV/atom
Raw total energy = -15.79 eV/f.u.

Geometry as POSCAR:
```
CdInPt2
1.0
9.479 0.035 0.020
8.981 3.031 0.020
8.981 1.491 2.638
Cd Pt In
1 2 1
Cartesian
13.892 2.307 1.356
27.399 4.550 2.675
6.919 1.149 0.676
20.392 3.386 1.991
```



Record 13
This record from Alexandria via LeMat-Bulk describes crystalline CdIn2Pt3 at its relaxed geometry. The functional is GGA-PBE.

SG = Imma, No. 74
N(E_F) = 3.97 states/eV per cell
Formation enthalpy at 0 K = -383.5 meV/atom
Raw total energy = -26.82 eV/f.u.

Geometry as POSCAR:
```
CdIn2Pt3
1.0
-3.572 -2.731 -1.122
2.328 3.671 -6.771
5.293 -4.608 3.936
Cd In Pt
2 4 6
Cartesian
3.141 -1.777 -0.890
0.908 -1.892 -3.068
4.150 -4.593 2.753
2.202 0.844 -4.279
-0.101 0.925 -6.711
1.846 -4.513 0.322
3.740 -1.399 -3.715
6.054 -1.509 -1.246
-0.622 0.470 -3.947
0.308 -2.270 -0.243
2.646 -2.304 1.968
-2.006 -2.160 -2.712
```



Record 14
This record from Alexandria via LeMat-Bulk describes crystalline CdInPt at its relaxed geometry. The functional is GGA-PBE.

SG = I4mm, No. 107
N(E_F) = 1.00 states/eV per cell
Formation enthalpy at 0 K = -196.2 meV/atom
Raw total energy = -10.28 eV/f.u.

Geometry as POSCAR:
```
CdInPt
1.0
-3.890 3.175 -3.955
-5.165 0.287 -3.754
-2.274 1.135 1.883
Cd Pt In
1 1 1
Cartesian
-2.378 1.171 1.736
-6.813 2.692 -4.536
-4.413 1.869 -1.142
```



Record 15
This record from Alexandria via LeMat-Bulk describes crystalline CdInPt2 at its relaxed geometry. The functional is GGA-PBE.

SG = Pmm2, No. 25
N(E_F) = 0.97 states/eV per cell
Formation enthalpy at 0 K = -370.8 meV/atom
Raw total energy = -17.22 eV/f.u.

Geometry as POSCAR:
```
CdInPt2
1.0
4.826 0.000 0.000
0.000 2.992 -0.003
0.000 0.006 4.944
Cd Pt In
1 2 1
Cartesian
0.000 1.872 2.045
0.000 0.379 4.547
2.413 0.376 1.631
2.413 1.875 4.132
```



Record 16
This record from Alexandria via LeMat-Bulk describes crystalline CdInPt2 at its relaxed geometry. The functional is GGA-PBE.

SG = P4mm, No. 99
N(E_F) = 2.35 states/eV per cell
Formation enthalpy at 0 K = -208.2 meV/atom
Raw total energy = -16.57 eV/f.u.

Geometry as POSCAR:
```
CdInPt2
1.0
-0.477 0.921 -3.470
-2.424 -2.665 -0.374
-4.166 3.575 1.521
Cd Pt In
1 2 1
Cartesian
-1.947 1.671 0.711
-4.067 3.491 1.485
-2.593 0.109 -1.505
-4.708 1.924 -0.732
```



Record 17
This record from Alexandria via LeMat-Bulk describes crystalline Cd2InPt at its relaxed geometry. The functional is GGA-PBE.

SG = F-43m, No. 216
N(E_F) = 2.09 states/eV per cell
Formation enthalpy at 0 K = -96.0 meV/atom
Raw total energy = -10.99 eV/f.u.

Geometry as POSCAR:
```
Cd2InPt
1.0
-4.542 1.334 -0.866
-3.060 -3.083 -2.071
-3.598 -1.907 2.564
Cd Pt In
2 1 1
Cartesian
0.000 0.000 0.000
-2.800 -0.914 -0.093
-8.400 -2.743 -0.280
-5.600 -1.828 -0.187
```



Record 18
This record from Alexandria via LeMat-Bulk describes crystalline CdIn2Pt at its relaxed geometry. The functional is GGA-PBE.

SG = Pmm2, No. 25
N(E_F) = 0.86 states/eV per cell
Formation enthalpy at 0 K = -124.6 meV/atom
Raw total energy = -12.93 eV/f.u.

Geometry as POSCAR:
```
CdIn2Pt
1.0
3.626 0.000 0.000
0.000 3.977 0.000
0.000 0.000 5.795
Cd Pt In
1 1 2
Cartesian
1.813 1.988 4.349
0.000 0.000 2.802
0.000 0.000 5.729
1.813 1.988 1.608
```



Record 19
This record from Alexandria via LeMat-Bulk describes crystalline Cd2InPt at its relaxed geometry. The functional is GGA-PBE.

SG = I-4m2, No. 119
N(E_F) = 1.20 states/eV per cell
Formation enthalpy at 0 K = -155.5 meV/atom
Raw total energy = -11.23 eV/f.u.

Geometry as POSCAR:
```
Cd2InPt
1.0
-3.565 -3.718 0.243
2.184 -3.993 2.426
-0.282 4.965 1.367
Cd Pt In
2 1 1
Cartesian
0.000 -0.001 0.000
-2.269 -1.304 1.472
0.606 -1.442 2.563
-0.691 -3.855 1.334
```



Record 20
This record from Alexandria via LeMat-Bulk describes crystalline CdInPt at its relaxed geometry. The functional is GGA-PBE.

SG = P-6m2, No. 187
N(E_F) = 0.35 states/eV per cell
Formation enthalpy at 0 K = -179.6 meV/atom
Raw total energy = -10.23 eV/f.u.

Geometry as POSCAR:
```
CdInPt
1.0
4.689 0.000 0.000
-2.344 4.061 0.000
0.000 0.000 3.128
Cd Pt In
1 1 1
Cartesian
0.000 0.000 0.001
2.344 1.354 1.566
0.000 2.707 1.561
```



| no. | total magnetization (μB per formula unit) |
| --- | --- |
| 1 | 0.00 |
| 2 | 0.00 |
| 3 | 0.00 |
| 4 | 0.00 |
| 5 | 0.00 |
| 6 | 0.00 |
| 7 | 0.00 |
| 8 | 0.00 |
| 9 | 0.00 |
| 10 | 0.00 |
| 11 | 0.00 |
| 12 | 0.00 |
| 13 | 0.00 |
| 14 | 0.00 |
| 15 | 0.00 |
| 16 | 0.00 |
| 17 | 0.00 |
| 18 | 0.00 |
| 19 | 0.00 |
| 20 | 0.00 |